No. 1
Pa2InGaO8, relaxed, DFT PBE; volume = 16.4 A^3/atom; DOS at the Fermi energy = 0.00 states/eV/f.u.; space group = No. 164; M_tot = 0.000 μB/f.u.; theoretical density = 6.5 g cm⁻³
1.0
6.426 0.000 0.000
-3.213 5.565 0.000
0.000 0.000 5.498
O In Ga Pa
8 1 1 2
Direct
0.143 0.857 0.230 O
0.333 0.667 0.843 O
0.857 0.143 0.770 O
0.286 0.143 0.770 O
0.857 0.714 0.770 O
0.667 0.333 0.157 O
0.143 0.286 0.230 O
0.714 0.857 0.230 O
0.000 0.000 0.500 In
0.000 0.000 0.000 Ga
0.333 0.667 0.193 Pa
0.667 0.333 0.807 Pa

=====

No. 2
InGaPb2O5, relaxed, DFT PBE; volume = 16.0 A^3/atom; DOS at the Fermi energy = 0.00 states/eV/f.u.; space group = No. 36; M_tot = 0.000 μB/f.u.; theoretical density = 7.8 g cm⁻³
1.0
-3.014 -1.420 -0.287
4.531 -5.106 -2.828
1.270 -4.895 10.872
O Pb In Ga
10 4 2 2
Direct
0.031 0.062 0.011 O
0.470 0.940 0.801 O
0.348 0.697 0.019 O
0.652 0.303 0.519 O
0.331 0.662 0.418 O
0.290 0.580 0.655 O
0.969 0.938 0.511 O
0.710 0.420 0.155 O
0.669 0.338 0.918 O
0.530 0.060 0.301 O
0.110 0.220 0.644 Pb
0.149 0.298 0.314 Pb
0.890 0.780 0.144 Pb
0.851 0.702 0.814 Pb
0.803 0.606 0.534 In
0.197 0.394 0.034 In
0.462 0.924 0.429 Ga
0.538 0.076 0.929 Ga

=====

No. 3
InGa2PdO6, relaxed, DFT PBE; volume = 12.4 A^3/atom; DOS at the Fermi energy = 0.76 states/eV/f.u.; space group = No. 15; M_tot = 0.985 μB/f.u.; theoretical density = 6.1 g cm⁻³
1.0
5.448 -0.333 -0.346
1.369 6.672 0.138
1.369 -0.109 6.673
Pd Ga In O
2 4 2 12
Direct
0.250 0.273 0.727 Pd
0.750 0.727 0.273 Pd
0.712 0.598 0.774 Ga
0.788 0.226 0.402 Ga
0.288 0.402 0.226 Ga
0.212 0.774 0.598 Ga
0.250 0.906 0.094 In
0.750 0.094 0.906 In
0.401 0.857 0.371 O
0.134 0.974 0.793 O
0.634 0.793 0.974 O
0.599 0.143 0.629 O
0.895 0.717 0.561 O
0.866 0.026 0.207 O
0.395 0.561 0.717 O
0.605 0.439 0.283 O
0.366 0.207 0.026 O
0.099 0.629 0.143 O
0.105 0.283 0.439 O
0.901 0.371 0.857 O

=====

Short version: E_form (uncorrected) = -2.39 -1.37 -1.33 eV per atom, in the order given.